Entry 1:
First-principles (PBE) data for Hg2MoCl after structural relaxation, as listed in the Alexandria database.

```
Hg2MoCl
1.0
1.495 -2.806 0.000
1.495 2.806 0.000
0.000 0.000 11.054
Hg Mo Cl
2 1 1
Cartesian
0.000 0.000 0.000
1.495 0.000 2.939
0.000 0.000 5.412
1.495 0.000 7.281
```

excess energy over the best structure of this formula in the dataset = 29.9 meV/atom
DOS at the Fermi energy = 2.40 states/eV per cell


Entry 2:
First-principles (PBE) data for Ca2SnF after structural relaxation, as listed in the Alexandria database.

```
Ca2SnF
1.0
0.000 3.728 3.728
3.728 0.000 3.728
3.728 3.728 0.000
Ca Sn F
2 1 1
Cartesian
1.864 1.864 1.864
5.592 5.592 5.592
0.000 0.000 0.000
3.728 3.728 3.728
```

excess energy over the best structure of this formula in the dataset = 404.0 meV/atom
DOS at the Fermi energy = 5.15 states/eV per cell